Below is a geometry-optimized Mn2NiSbO6 structure, with properties calculated at the PBE+U level.

abc: 5.1982 5.2054 5.6299
angles: 90.27 117.39 119.75
Last column: nearest neighbours and their distance in Å.
Space group P1 (No. 1)
Symmetry-distinct sites (fractional):
1 Mn 0.0000 0.0000 0.0000 x1  6 O 2.10-2.35
2 Mn 0.0370 0.5201 0.5573 x1  6 O 1.99-2.02
3 Ni 0.4399 0.7184 0.1608 x1  6 O 2.05-2.23
4 Sb 0.4112 0.2047 0.6187 x1  6 O 2.00-2.05
5 O 0.2227 0.4177 0.3536 x1  1 Mn 2.01, 1 Sb 2.04, 1 Ni 2.07
6 O 0.2443 0.3255 0.8282 x1  1 Sb 2.00, 2 Mn 2.02-2.10, 1 Ni 2.21
7 O 0.5001 0.9167 0.8258 x1  1 Sb 2.01, 2 Mn 2.01-2.11, 1 Ni 2.23
8 O 0.5507 0.1255 0.3564 x1  1 Mn 2.02, 1 Sb 2.04, 1 Ni 2.05
9 O 0.9066 0.5802 0.8268 x1  2 Mn 2.00-2.11, 1 Sb 2.01, 1 Ni 2.22
10 O 0.9325 0.8014 0.3569 x1  1 Mn 1.99, 1 Sb 2.05, 1 Ni 2.06

Results
E_tot	-6.49	eV per atom